(1)
This record from Alexandria describes a PBEsol-optimized structure of KZnP3O9. The functional is SCAN.

The structure in extended XYZ format:
```
28
Lattice="6.645 0.000 0.000 -3.322 5.754 0.000 0.000 0.000 9.813" Properties=species:S:1:pos:R:3 pbc="T T T"
K 0.000 0.000 0.000
K 0.000 0.000 4.907
Zn 0.000 3.836 0.000
Zn 0.000 3.836 4.907
P 2.765 0.284 2.453
P 1.629 2.253 7.360
P 3.880 0.284 7.360
P 2.186 3.218 2.453
P 5.016 2.253 2.453
P 4.459 3.218 7.360
O -0.873 2.344 1.165
O -0.873 2.344 3.741
O -1.728 3.827 6.072
O -1.728 3.827 8.648
O 0.873 2.344 6.072
O 0.873 2.344 8.648
O -0.856 5.338 1.165
O -0.856 5.338 3.741
O 2.367 0.820 7.360
O 1.894 1.640 2.453
O 1.728 3.827 1.165
O 1.728 3.827 3.741
O 0.856 5.338 6.072
O 0.856 5.338 8.648
O 4.277 0.820 2.453
O 2.849 3.294 7.360
O 4.751 1.640 7.360
O 3.796 3.294 2.453
```

## Properties
- formation energy without anion corrections (eV per atom) = -2.36

=====

(2)
This record from Alexandria describes a PBEsol-optimized structure of Sc3AlHg. The functional is SCAN.

The structure in extended XYZ format:
```
5
Lattice="5.166 0.000 0.000 0.000 5.166 0.000 0.000 0.000 5.166" Properties=species:S:1:pos:R:3 pbc="T T T"
Sc 0.000 0.000 2.583
Sc 0.000 2.583 0.000
Sc 2.583 0.000 0.000
Al 2.583 2.583 2.583
Hg 0.000 0.000 0.000
```

## Properties
- calculated formation energy (eV/atom) = 0.227

=====

(3)
This record from Alexandria describes a PBEsol-optimized structure of Sc2InRu. The functional is SCAN.

The structure in extended XYZ format:
```
4
Lattice="3.241 0.000 0.000 0.000 3.241 0.000 0.000 0.000 7.143" Properties=species:S:1:pos:R:3 pbc="T T T"
Sc 0.000 0.000 1.510
Sc 0.000 0.000 5.632
In 1.620 1.620 3.571
Ru 1.620 1.620 0.000
```

## Properties
- calculated formation energy (eV/atom) = -0.729

=====

(4)
This record from Alexandria describes a PBEsol-optimized structure of Cs2Sr2O3. The functional is SCAN.

The structure in extended XYZ format:
```
14
Lattice="7.099 0.000 0.000 0.000 7.367 0.000 -3.267 0.000 6.545" Properties=species:S:1:pos:R:3 pbc="T T T"
Cs -0.140 1.087 2.774
Cs -1.773 2.596 6.047
Cs 5.605 4.771 0.498
Cs 3.971 6.280 3.771
Sr 0.509 4.575 3.727
Sr 2.143 6.477 0.454
Sr 1.689 0.891 6.091
Sr 3.322 2.793 2.818
O 0.000 0.000 0.000
O -1.634 3.684 3.273
O 1.958 4.483 1.774
O 0.325 6.568 5.046
O 3.507 0.800 1.499
O 1.873 2.884 4.771
```

## Properties
- formation energy without anion corrections (eV per atom) = -2.12

=====

(5)
This record from Alexandria describes a PBEsol-optimized structure of Tl2CuSn. The functional is SCAN.

The structure in extended XYZ format:
```
4
Lattice="0.000 3.607 3.607 3.607 0.000 3.607 3.607 3.607 0.000" Properties=species:S:1:pos:R:3 pbc="T T T"
Tl 1.803 1.803 1.803
Tl 5.410 5.410 5.410
Cu 0.000 0.000 0.000
Sn 3.607 3.607 3.607
```

## Properties
- calculated formation energy (eV/atom) = 0.410

=====

(6)
This record from Alexandria describes a PBEsol-optimized structure of NiPt2Rh. The functional is SCAN.

The structure in extended XYZ format:
```
4
Lattice="-1.896 1.896 3.774 1.896 -1.896 3.774 1.896 1.896 -3.774" Properties=species:S:1:pos:R:3 pbc="T T T"
Ni 0.000 0.000 0.000
Pt 0.000 0.000 3.774
Pt 0.000 1.896 1.887
Rh 1.896 0.000 1.887
```

## Properties
- calculated formation energy (eV/atom) = -0.066

=====

(7)
This record from Alexandria describes a PBEsol-optimized structure of SiIO2. The functional is SCAN.

The structure in extended XYZ format:
```
8
Lattice="0.000 3.844 3.844 3.844 0.000 3.844 3.844 3.844 0.000" Properties=species:S:1:pos:R:3 pbc="T T T"
Si 0.961 0.961 0.961
Si 6.727 6.727 6.727
I 2.883 2.883 2.883
I 4.805 4.805 4.805
O 0.000 0.000 0.000
O 1.922 1.922 0.000
O 1.922 0.000 1.922
O 0.000 1.922 1.922
```

## Properties
- formation energy without anion corrections (eV per atom) = -1.77

=====

(8)
This record from Alexandria describes a PBEsol-optimized structure of YAlTe2N. The functional is SCAN.

The structure in extended XYZ format:
```
5
Lattice="5.521 0.000 0.000 0.000 5.521 0.000 0.000 0.000 3.593" Properties=species:S:1:pos:R:3 pbc="T T T"
Y 0.000 0.000 0.000
Al 2.760 2.760 1.796
Te 0.000 2.760 1.796
Te 2.760 0.000 1.796
N 2.760 2.760 0.000
```

## Properties
- formation energy without anion corrections (eV per atom) = -0.42

=====

M_tot, respectively: 0.00, 0.00, 0.00, 0.00, 0.00, 2.04, 2.00, 0.00 Bohr magnetons per cell.